No. 1
Entry from Alexandria via LeMat-Bulk: a relaxed InMoP crystal (GGA-PBE).

```
data_InMoP
_symmetry_space_group_name_H-M 'P 1'
_symmetry_Int_Tables_number 1
_cell_length_a 4.278
_cell_length_b 4.278
_cell_length_c 4.278
_cell_angle_alpha 60.00
_cell_angle_beta 60.00
_cell_angle_gamma 60.00
loop_
_symmetry_equiv_pos_as_xyz
'x,y,z'
loop_
_atom_site_label
_atom_site_type_symbol
_atom_site_fract_x
_atom_site_fract_y
_atom_site_fract_z
In1 In 0.000 0.000 0.000
Mo1 Mo 0.500 0.500 0.500
P1 P 0.750 0.750 0.750
```

* energy above the most stable polymorph in this dataset: 583 meV/atom
* formation energy: 0.439 eV per atom
* symmetry: F-43m
* size of the total moment: 0.00 μB/cell
* V: 55.4 Å³ per cell
* uncorrected energy: -5.8874 eV per atom

***

No. 2
Entry from Alexandria via LeMat-Bulk: a relaxed LiAcPtO4 crystal (GGA-PBE).

```
data_LiAcPtO4
_symmetry_space_group_name_H-M 'P 1'
_symmetry_Int_Tables_number 1
_cell_length_a 6.853
_cell_length_b 6.853
_cell_length_c 6.853
_cell_angle_alpha 122.98
_cell_angle_beta 107.02
_cell_angle_gamma 99.38
loop_
_symmetry_equiv_pos_as_xyz
'x,y,z'
loop_
_atom_site_label
_atom_site_type_symbol
_atom_site_fract_x
_atom_site_fract_y
_atom_site_fract_z
Li1 Li 0.260 0.010 0.250
Li2 Li 0.740 0.990 0.750
Ac1 Ac 0.000 0.500 0.500
Ac2 Ac 0.500 0.500 0.000
Pt1 Pt 0.500 0.000 0.000
Pt2 Pt 0.500 0.500 0.500
O1 O 0.266 0.295 0.529
O2 O 0.266 0.736 0.971
O3 O 0.316 0.223 0.093
O4 O 0.371 0.777 0.593
O5 O 0.629 0.223 0.407
O6 O 0.684 0.777 0.907
O7 O 0.734 0.264 0.029
O8 O 0.734 0.705 0.471
```

* uncorrected formation energy: -1.81 eV per atom
* symmetry: Imma
* size of the total moment: 0.00 μB/cell
* V: 236.4 Å³ per cell
* uncorrected energy: -6.3694 eV per atom

***

No. 3
Entry from Alexandria via LeMat-Bulk: a relaxed AcTl3I6 crystal (GGA-PBE).

```
data_AcTl3I6
_symmetry_space_group_name_H-M 'P 1'
_symmetry_Int_Tables_number 1
_cell_length_a 8.467
_cell_length_b 9.352
_cell_length_c 14.433
_cell_angle_alpha 90.00
_cell_angle_beta 121.64
_cell_angle_gamma 90.00
loop_
_symmetry_equiv_pos_as_xyz
'x,y,z'
loop_
_atom_site_label
_atom_site_type_symbol
_atom_site_fract_x
_atom_site_fract_y
_atom_site_fract_z
Ac1 Ac 0.000 0.000 0.000
Ac2 Ac 0.000 0.500 0.500
Tl1 Tl 0.311 0.092 0.783
Tl2 Tl 0.311 0.408 0.283
Tl3 Tl 0.500 0.000 0.500
Tl4 Tl 0.500 0.500 0.000
Tl5 Tl 0.689 0.592 0.717
Tl6 Tl 0.689 0.908 0.217
I1 I 0.090 0.068 0.245
I2 I 0.090 0.432 0.745
I3 I 0.255 0.709 0.089
I4 I 0.255 0.791 0.589
I5 I 0.373 0.171 0.050
I6 I 0.373 0.329 0.550
I7 I 0.627 0.671 0.450
I8 I 0.627 0.829 0.950
I9 I 0.745 0.209 0.411
I10 I 0.745 0.291 0.911
I11 I 0.910 0.568 0.255
I12 I 0.910 0.932 0.755
```

* uncorrected formation energy: -1.01 eV per atom
* symmetry: P2_1/c
* size of the total moment: 0.00 μB/cell
* V: 972.9 Å³ per cell
* uncorrected energy: -3.0617 eV per atom

***

No. 4
Entry from Alexandria via LeMat-Bulk: a relaxed Zn2Co3Ge crystal (GGA-PBE).

```
data_Zn2Co3Ge
_symmetry_space_group_name_H-M 'P 1'
_symmetry_Int_Tables_number 1
_cell_length_a 4.052
_cell_length_b 4.052
_cell_length_c 4.990
_cell_angle_alpha 90.00
_cell_angle_beta 90.00
_cell_angle_gamma 120.00
loop_
_symmetry_equiv_pos_as_xyz
'x,y,z'
loop_
_atom_site_label
_atom_site_type_symbol
_atom_site_fract_x
_atom_site_fract_y
_atom_site_fract_z
Zn1 Zn 0.333 0.667 0.148
Zn2 Zn 0.667 0.333 0.852
Co1 Co 0.000 0.000 0.000
Co2 Co 0.333 0.667 0.650
Co3 Co 0.667 0.333 0.350
Ge1 Ge 0.000 0.000 0.500
```

* formation energy: -0.125 eV per atom
* symmetry: P-3m1
* size of the total moment: 0.00 μB/cell
* V: 71.0 Å³ per cell
* uncorrected energy: -4.8718 eV per atom